Entry 1:
Below is a relaxed CoIr2Pt crystal, with properties calculated at the PBE level.

Structure (POSCAR):
```
CoIr2Pt
1.0
-2.675 0.084 0.508
0.659 -0.919 3.621
0.405 5.274 1.265
Pt Ir Co
1 2 1
Direct
0.000 0.000 0.510
0.500 0.500 0.237
0.000 0.000 0.998
0.500 0.500 0.756
```

Properties
- space-group type = Pmm2, No. 25
- crystal system = orthorhombic
- theoretical density (g/cm3) = 18.9
- total energy (eV/atom) = -7.70

Entry 2:
Below is a relaxed BeGe3Ru crystal, with properties calculated at the PBE level.

Structure (POSCAR):
```
BeGe3Ru
1.0
-4.161 -1.598 -1.759
-0.351 -3.094 3.642
-2.351 3.292 2.569
Ge Be Ru
3 1 1
Direct
0.000 0.500 0.000
0.500 0.000 0.000
0.000 0.000 0.500
0.500 0.500 0.500
0.000 0.000 0.000
```

Properties
- space-group type = Pm-3m, No. 221
- crystal system = cubic
- theoretical density (g/cm3) = 5.0
- total energy (eV/atom) = -4.67

Entry 3:
Below is a relaxed CsAsSe2I crystal, with properties calculated at the PBE level.

Structure (POSCAR):
```
CsAsSe2I
1.0
5.649 0.000 0.000
0.000 5.649 0.000
0.000 0.000 5.644
Se Cs I As
2 1 1 1
Direct
0.000 0.500 0.000
0.500 0.000 0.000
0.500 0.500 0.500
0.000 0.000 0.000
0.000 0.000 0.500
```

Properties
- space-group type = P4/mmm, No. 123
- crystal system = tetragonal
- theoretical density (g/cm3) = 4.5
- uncorrected formation energy (eV/atom) = 0.25

Entry 4:
Below is a relaxed PmDyAlCd crystal, with properties calculated at the PBE level.

Structure (POSCAR):
```
PmDyAlCd
1.0
-3.452 -0.069 1.226
0.419 -3.504 0.983
2.418 2.234 6.931
Cd Pm Dy Al
1 1 1 1
Direct
0.000 0.000 0.845
0.500 0.500 0.120
0.500 0.500 0.596
0.000 0.000 0.367
```

Properties
- space-group type = P4mm, No. 99
- crystal system = tetragonal
- theoretical density (g/cm3) = 7.2
- total energy (eV/atom) = -3.86

Question: What is the theoretical density in the fourth record?
Answer: 7.2 g/cm3

Please write out number 1 again, unchanged.
Below is a relaxed CoIr2Pt crystal, with properties calculated at the PBE level.

Structure (POSCAR):
```
CoIr2Pt
1.0
-2.675 0.084 0.508
0.659 -0.919 3.621
0.405 5.274 1.265
Pt Ir Co
1 2 1
Direct
0.000 0.000 0.510
0.500 0.500 0.237
0.000 0.000 0.998
0.500 0.500 0.756
```

Properties
- space-group type = Pmm2, No. 25
- crystal system = orthorhombic
- theoretical density (g/cm3) = 18.9
- total energy (eV/atom) = -7.70

Question: Which formula does entry 4 have?
Answer: PmDyAlCd